one) A plane-wave DFT calculation with PBE was carried out for a relaxed structure of Re2HgBr.

Cell lengths 5.6494, 5.6494, 5.4330 Å; angles 116.20, 116.20, 29.72 degrees
Last column: nearest neighbours and their distance in Å.
Sites, in units of the cell vectors:
Re 0.0000 0.0000 0.0000  2 Br 2.56, 2 Re 2.57
Re 0.7055 0.7055 0.0540  2 Re 2.57, 2 Br 2.68
Hg 0.2453 0.2453 0.6010  2 Hg 2.90, 7 Re 3.00-3.15, 1 Br 3.13
Br 0.4360 0.4360 0.3129  4 Re 2.56-2.68

Results
DOS(E_F) = 2.8 states/eV/cell
Size of the total moment = 0.0 μB/cell
SG = Cm, No. 8



two) A plane-wave DFT calculation with PBE was carried out for a relaxed structure of Re2HgBr.

Cell lengths 4.9895, 4.9895, 2.8826 Å; angles 90.00, 90.00, 103.65 degrees
Last column: nearest neighbours and their distance in Å.
Sites, in units of the cell vectors:
Re 0.0000 0.5000 0.0000  4 Hg 2.88, 4 Br 2.88, 4 Re 2.88-3.08
Re 0.5000 0.0000 0.0000  4 Hg 2.88, 4 Br 2.88, 4 Re 2.88-3.08
Hg 0.0000 0.0000 0.5000  8 Re 2.88, 2 Hg 2.88, 2 Br 3.08
Br 0.5000 0.5000 0.5000  8 Re 2.88, 2 Br 2.88, 2 Hg 3.08

Results
DOS(E_F) = 4.1 states/eV/cell
Size of the total moment = 0.0 μB/cell
SG = Cmmm, No. 65



three) A plane-wave DFT calculation with PBE was carried out for a relaxed structure of Re2HgBr.

Cell lengths 9.1529, 9.1529, 9.1529 Å; angles 18.64, 18.64, 18.64 degrees
Last column: nearest neighbours and their distance in Å.
Sites, in units of the cell vectors:
Re 0.2458 0.2458 0.2458  3 Br 2.74, 3 Hg 2.92, 6 Re 2.96
Re 0.7542 0.7542 0.7542  3 Br 2.74, 3 Hg 2.92, 6 Re 2.96
Hg 0.0000 0.0000 0.0000  6 Re 2.92, 6 Hg 2.96
Br 0.5000 0.5000 0.5000  6 Re 2.74, 6 Br 2.96

Results
DOS(E_F) = 5.4 states/eV/cell
Size of the total moment = 0.6 μB/cell
SG = R-3m, No. 166



In kJ/mol of atoms, relative to the most stable structure: one) 0.0; two) 57.3; three) 12.9.



one) A plane-wave DFT calculation with PBE was carried out for a relaxed structure of Re2HgBr.

Cell lengths 2.8779, 4.9568, 5.0642 Å; angles 90.00, 90.00, 90.00 degrees
Last column: nearest neighbours and their distance in Å.
Sites, in units of the cell vectors:
Re 0.0000 0.0000 0.0000  4 Br 2.87, 6 Re 2.88-2.91
Re 0.5000 0.0000 0.5000  4 Hg 2.87, 6 Re 2.88-2.91
Hg 0.0000 0.5000 0.5000  4 Re 2.87, 2 Hg 2.88, 4 Br 2.91
Br 0.5000 0.5000 0.0000  4 Re 2.87, 2 Br 2.88, 4 Hg 2.91

Results
DOS(E_F) = 4.0 states/eV/cell
Size of the total moment = 0.0 μB/cell
SG = Pmmm, No. 47



two) A plane-wave DFT calculation with PBE was carried out for a relaxed structure of Re2HgBr.

Cell lengths 4.5866, 4.5866, 4.5866 Å; angles 60.00, 60.00, 60.00 degrees
Last column: nearest neighbours and their distance in Å.
Sites, in units of the cell vectors:
Re 0.2500 0.2500 0.2500  4 Br 2.81, 4 Hg 2.81
Re 0.7500 0.7500 0.7500  4 Br 2.81, 4 Hg 2.81
Hg 0.0000 0.0000 0.0000  8 Re 2.81
Br 0.5000 0.5000 0.5000  8 Re 2.81

Results
DOS(E_F) = 5.4 states/eV/cell
Size of the total moment = 0.0 μB/cell
SG = Fm-3m, No. 225



three) A plane-wave DFT calculation with PBE was carried out for a relaxed structure of Re2HgBr.

Cell lengths 3.1676, 3.1676, 6.7328 Å; angles 90.00, 90.00, 90.00 degrees
Last column: nearest neighbours and their distance in Å.
Sites, in units of the cell vectors:
Re 0.0000 0.0000 0.2224  4 Br 2.69, 4 Hg 2.92, 1 Re 3.00
Re 0.0000 0.0000 0.7776  4 Br 2.69, 4 Hg 2.92, 1 Re 3.00
Hg 0.5000 0.5000 0.5000  8 Re 2.92, 4 Hg 3.17
Br 0.5000 0.5000 0.0000  8 Re 2.69

Results
DOS(E_F) = 4.8 states/eV/cell
Size of the total moment = 0.0 μB/cell
SG = P4/mmm, No. 123



In kJ/mol of atoms, relative to the most stable structure: one) 0.0; two) 32.6; three) 22.4.